(1)
The following is a GGA-PBE calculation of a geometry-optimized CaPm2ZrO6 structure, from Alexandria via LeMat-Bulk.

```
10
Lattice="5.866 0.000 0.000 2.933 5.080 0.000 2.933 1.694 5.046" Properties=species:S:1:pos:R:3 pbc="T T T"
O 6.635 1.954 3.877
O 4.787 1.449 1.261
O 4.728 5.290 1.261
O 6.723 4.769 3.877
O 4.241 3.438 3.877
O 8.083 3.421 1.261
Pm 2.933 1.694 4.601
Pm 5.866 3.387 2.070
Zr 2.933 1.693 0.306
Ca 8.799 5.080 2.920
```

Calculated values
**E_form (uncorrected)**: -3190 kJ/mol of formula units
**SG**: R3, No. 146

(2)
The following is a GGA-PBE calculation of a geometry-optimized Ac4GaPb3 structure, from Alexandria via LeMat-Bulk.

```
8
Lattice="-1.863 -1.071 -4.503 2.551 -3.873 -0.134 -9.319 -6.323 5.360" Properties=species:S:1:pos:R:3 pbc="T T T"
Ac -2.936 -4.697 -0.433
Ac -1.257 -0.853 0.723
Ac -6.819 -7.428 4.588
Ac -6.871 -4.565 1.164
Ga -0.413 -2.985 -1.884
Pb -3.838 -2.604 2.207
Pb -9.545 -6.379 2.702
Pb -4.223 -5.667 3.095
```

Calculated values
**Energy of formation from the pure elements**: -523 meV/atom
**SG**: Pmm2, No. 25

(3)
The following is a GGA-PBE calculation of a geometry-optimized CaHoCdIr structure, from Alexandria via LeMat-Bulk.

```
4
Lattice="5.030 0.000 0.000 2.515 4.356 0.000 2.515 1.452 4.107" Properties=species:S:1:pos:R:3 pbc="T T T"
Ca 5.030 2.904 2.054
Ir 2.515 1.452 1.027
Cd 7.545 4.356 3.080
Ho 0.000 0.000 0.000
```

Calculated values
**Energy of formation from the pure elements**: -395 meV/atom
**SG**: F-43m, No. 216

(4)
The following is a GGA-PBE calculation of a geometry-optimized RbScGe structure, from Alexandria via LeMat-Bulk.

```
6
Lattice="4.037 -2.331 0.000 0.000 4.662 0.000 0.000 0.000 11.640" Properties=species:S:1:pos:R:3 pbc="T T T"
Rb 0.000 0.000 0.000
Rb 0.000 0.000 5.820
Sc 2.691 0.000 8.730
Sc 1.346 2.331 2.910
Ge 1.346 2.331 8.730
Ge 2.691 0.000 2.910
```

Calculated values
**Energy of formation from the pure elements**: 30 meV/atom
**Polymorph energy (0 for the lowest one)**: 390 meV per atom
**SG**: P6_3/mmc, No. 194

(5)
The following is a GGA-PBE calculation of a geometry-optimized Ho3Tm2Zn2 structure, from Alexandria via LeMat-Bulk.

```
7
Lattice="3.634 0.000 0.000 -1.817 6.404 -0.341 0.000 -3.410 8.196" Properties=species:S:1:pos:R:3 pbc="T T T"
Zn 0.000 1.566 1.692
Zn 1.817 1.428 6.162
Ho 1.817 0.000 0.000
Ho 1.817 -0.088 3.545
Ho 0.000 3.082 4.309
Tm 0.000 -0.887 6.551
Tm 1.817 3.881 1.303
```

Calculated values
**Energy of formation from the pure elements**: -158 meV/atom
**Polymorph energy (0 for the lowest one)**: 0 meV per atom
**SG**: C2/m, No. 12

(6)
The following is a GGA-PBE calculation of a geometry-optimized Co2PtW structure, from Alexandria via LeMat-Bulk.

```
4
Lattice="4.632 -0.003 -0.002 1.670 4.320 0.001 -3.150 -2.160 2.622" Properties=species:S:1:pos:R:3 pbc="T T T"
Co 6.301 4.317 -0.001
Co 2.316 -0.002 1.310
Pt 3.151 2.158 0.000
W 0.835 2.160 1.311
```

Calculated values
**Energy of formation from the pure elements**: -121 meV/atom
**Polymorph energy (0 for the lowest one)**: 0 meV per atom
**SG**: I-4m2, No. 119

Copy entry 3 word for word.
The following is a GGA-PBE calculation of a geometry-optimized CaHoCdIr structure, from Alexandria via LeMat-Bulk.

```
4
Lattice="5.030 0.000 0.000 2.515 4.356 0.000 2.515 1.452 4.107" Properties=species:S:1:pos:R:3 pbc="T T T"
Ca 5.030 2.904 2.054
Ir 2.515 1.452 1.027
Cd 7.545 4.356 3.080
Ho 0.000 0.000 0.000
```

Calculated values
**Energy of formation from the pure elements**: -395 meV/atom
**SG**: F-43m, No. 216